(1)
Entry from Alexandria via LeMat-Bulk: a relaxed LiZr2AuO crystal (GGA-PBE).

Lattice parameters (Å, degrees): 4.4706 4.4706 3.9730 90.00 90.00 90.00
With the nearest neighbours (Å) after each atom.
Space group P4/mmm (No. 123)
Unique sites:
Li 0.0000 0.0000 0.0000 x1  2 O 1.99
Zr 0.0000 0.5000 0.5000 x2  2 O 2.24
Au 0.5000 0.5000 0.0000 x1  8 Zr 2.99, 4 Li 3.16
O 0.0000 0.0000 0.5000 x1  2 Li 1.99

Summary:
**Raw total energy**: -6.741 eV per atom

=====

(2)
Entry from Alexandria via LeMat-Bulk: a relaxed Tb2ErMnSe6 crystal (GGA-PBE).

Lattice parameters (Å, degrees): 7.0344 7.0418 7.4793 90.09 117.97 119.93
With the nearest neighbours (Å) after each atom.
Space group P1 (No. 1)
Unique sites:
Tb 0.0000 0.0000 0.0000 x1  6 Se 2.87-2.91
Tb 0.0034 0.5020 0.5054 x1  6 Se 2.84-2.93
Er 0.3959 0.6977 0.0939 x1  6 Se 2.80-2.87
Mn 0.3905 0.1949 0.5857 x1  6 Se 2.62-2.65
Se 0.2357 0.4119 0.3235 x1  1 Mn 2.65, 1 Er 2.80, 2 Tb 2.84-2.90
Se 0.2411 0.3056 0.8067 x1  1 Mn 2.62, 1 Er 2.87, 2 Tb 2.88-2.93
Se 0.5000 0.0880 0.3240 x1  1 Mn 2.64, 1 Er 2.80, 2 Tb 2.84-2.91
Se 0.5011 0.9349 0.8073 x1  1 Mn 2.63, 1 Er 2.86, 2 Tb 2.87-2.93
Se 0.8720 0.5658 0.8076 x1  1 Mn 2.63, 1 Er 2.86, 2 Tb 2.87-2.92
Se 0.9115 0.8236 0.3235 x1  1 Mn 2.65, 1 Er 2.80, 2 Tb 2.84-2.90

Summary:
**Raw total energy**: -5.809 eV per atom

=====

E_form (uncorrected) per entry: -1.29 -1.42 eV/atom
Mass density per entry: 8.41 6.24 g/cm3
DOS at the Fermi energy per entry: 4.96 4.42 states/eV/f.u.